Record 1
# Nd2BiOsO8

Nd2BiOsO8 after structural relaxation (PBE, Alexandria via LeMat-Bulk).

ΔE_f (raw) (meV/atom): -1977
ρ (g/cm3): 7.21

```
Nd2BiOsO8
1.0
-1.1822 -4.3964 -2.4787
4.9219 -1.5484 0.4935
-1.5647 -3.0251 6.1123
O Os Nd Bi
8 1 2 1
Direct
0.3070 0.3074 0.5005
0.1762 0.8229 0.7940
0.8230 0.1764 0.7940
0.8238 0.1771 0.2060
0.7422 0.7425 0.0005
0.1770 0.8236 0.2060
0.6930 0.6926 0.4995
0.2578 0.2575 0.9995
0.0000 0.0000 0.0000
0.5006 0.5006 0.7520
0.4994 0.4994 0.2480
0.0000 0.0000 0.5000
```

***

Record 2
# NdBi2OsO8

NdBi2OsO8 after structural relaxation (PBE, Alexandria via LeMat-Bulk).

ΔE_f (raw) (meV/atom): -1544
ρ (g/cm3): 7.70

```
NdBi2OsO8
1.0
-1.0685 -4.4148 -2.6592
3.2287 1.3984 -3.9290
5.1932 -3.1515 3.1459
Bi O Nd Os
2 8 1 1
Direct
0.5000 0.5000 0.7525
0.5000 0.5000 0.2475
0.1794 0.8167 0.2121
0.3180 0.3150 0.5000
0.8206 0.1833 0.7879
0.1794 0.8167 0.7880
0.2444 0.2382 0.0000
0.6820 0.6850 0.5000
0.7556 0.7618 0.0000
0.8206 0.1833 0.2120
0.0000 0.0000 0.5000
0.0000 0.0000 0.0000
```

***

Record 3
# NdBiP2O8

NdBiP2O8 after structural relaxation (PBE, Alexandria via LeMat-Bulk).

ΔE_f (raw) (meV/atom): -2347
ρ (g/cm3): 5.02

```
NdBiP2O8
1.0
-2.5673 4.3961 -1.4559
-2.3958 -3.5609 3.1010
2.5765 3.4919 6.0005
O P Bi Nd
8 2 1 1
Direct
0.1752 0.8292 0.7330
0.6667 0.3333 0.9913
0.8248 0.1708 0.2670
0.6541 0.8248 0.7330
0.3459 0.1752 0.2670
0.1708 0.3459 0.7330
0.3333 0.6667 0.0087
0.8292 0.6541 0.2670
0.3333 0.6667 0.8021
0.6667 0.3333 0.1979
0.0000 0.0000 0.5000
0.0000 0.0000 0.0000
```

***

Record 4
# Nd2BiPbO6

Nd2BiPbO6 after structural relaxation (PBE, Alexandria via LeMat-Bulk).

ΔE_f (raw) (meV/atom): -2150
ρ (g/cm3): 7.80

```
Nd2BiPbO6
1.0
-1.4858 -3.9985 -4.3766
4.3907 -2.8255 -3.1763
1.0227 -6.1720 1.0245
Nd O Pb Bi
2 6 1 1
Direct
0.0246 0.0246 0.9263
0.5276 0.5276 0.4171
0.4116 0.7002 0.7573
0.9155 0.6264 0.2510
0.6264 0.2070 0.2510
0.1309 0.4116 0.7573
0.2070 0.9156 0.2510
0.7002 0.1309 0.7573
0.8075 0.8075 0.5775
0.3102 0.3102 0.0695
```

***

Record 5
# NdBi2PdO6

NdBi2PdO6 after structural relaxation (PBE, Alexandria via LeMat-Bulk).

ΔE_f (raw) (meV/atom): -1426
ρ (g/cm3): 7.86

```
NdBi2PdO6
1.0
-3.9466 2.7152 -4.0057
-3.1563 -3.4110 -3.3314
-6.2198 -0.0204 0.9169
O Bi Pd Nd
6 2 1 1
Direct
0.6400 0.1621 0.7486
0.6341 0.1674 0.2695
0.9622 0.5822 0.2567
0.4312 0.6752 0.8002
0.1314 0.4443 0.7454
0.1718 0.9846 0.2172
0.5408 0.5056 0.4148
0.0319 0.0164 0.9413
0.3028 0.3344 0.0311
0.8154 0.7895 0.5905
```

***

Record 6
# PmNdBiO2

PmNdBiO2 after structural relaxation (PBE, Alexandria via LeMat-Bulk).

ΔE_f (raw) (meV/atom): -2582
ρ (g/cm3): 7.81

```
PmNdBiO2
1.0
4.0129 0.0000 0.0000
0.0000 4.0129 0.0000
-2.0065 -2.0065 7.0044
Pm Bi O Nd
1 1 2 1
Direct
0.1666 0.1666 0.3332
0.5008 0.5008 0.0016
0.2491 0.7491 0.4982
0.7491 0.2491 0.4982
0.8344 0.8344 0.6688
```

***

Record 7
# PrNdBi2O8

PrNdBi2O8 after structural relaxation (PBE, Alexandria via LeMat-Bulk).

ΔE_f (raw) (meV/atom): -1922
ρ (g/cm3): 7.74

```
PrNdBi2O8
1.0
5.5354 0.0000 0.0000
0.0000 5.5354 0.0000
-2.7677 -2.7677 5.8178
Bi Nd O Pr
2 1 8 1
Direct
0.2500 0.7500 0.5000
0.5000 0.5000 0.0000
0.0000 0.0000 0.0000
0.5959 0.6526 0.6897
0.3474 0.9061 0.3103
0.3992 0.3437 0.1880
0.9629 0.4041 0.3103
0.0939 0.0371 0.6897
0.7889 0.8444 0.1880
0.1556 0.6008 0.8120
0.6563 0.2111 0.8120
0.7500 0.2500 0.5000
```

***

Record 8
# Rb4NdBi3O12

Rb4NdBi3O12 after structural relaxation (PBE, Alexandria via LeMat-Bulk).

ΔE_f (raw) (meV/atom): -1271
ρ (g/cm3): 6.38

```
Rb4NdBi3O12
1.0
7.6135 0.0000 0.0000
-2.5378 7.1781 0.0000
-2.5378 -3.5890 6.2164
O Bi Rb Nd
12 3 4 1
Direct
0.7351 0.7351 0.0000
0.7500 0.5000 0.2500
0.2649 0.0000 0.2649
0.5000 0.2500 0.7500
0.2500 0.5000 0.7500
0.2500 0.7500 0.5000
0.5000 0.7500 0.2500
0.0000 0.7351 0.7351
0.2649 0.2649 0.0000
0.7351 0.0000 0.7351
0.0000 0.2649 0.2649
0.7500 0.2500 0.5000
0.5000 0.5000 0.0000
0.0000 0.5000 0.5000
0.5000 0.0000 0.5000
0.0000 0.0000 0.5000
0.0000 0.5000 0.0000
0.5000 0.0000 0.0000
0.5000 0.5000 0.5000
0.0000 0.0000 0.0000
```